AlCrNF2 (GGA+U, optimized geometry); calculated volume = 10.56 Å³/atom; energy above the lowest structure with this stoichiometry = 0.000 eV/atom; total moment = 4.00 μB per formula unit
1.0
-0.802 -2.460 2.522
2.615 -2.149 -1.264
2.643 1.729 2.527
Cr N Al F
1 1 1 2
Cartesian
2.228 -1.439 1.892
1.321 0.865 1.263
0.000 0.000 0.000
1.307 -1.074 -0.632
-0.401 -1.230 1.261